--- a ---
This record from the Alexandria database describes a geometry-optimized Tl3Bi3Pb2 structure. The functional is PBE.

The value obtained for the spin magnetization is 0.0 μB per formula unit.

Cell lengths 3.515, 9.394, 9.394 Å; angles 120.00, 90.00, 90.00 degrees
Fractional coordinates of all 8 atoms:
Bi  0.500  0.000  0.606
Tl  0.000  0.236  0.000
Bi  0.500  0.394  0.394
Tl  0.000  0.000  0.236
Pb  0.000  0.333  0.667
Bi  0.500  0.606  0.000
Pb  0.000  0.667  0.333
Tl  0.000  0.764  0.764

--- b ---
This record from the Alexandria database describes a geometry-optimized Tl3Bi3Pb2 structure. The functional is PBE.

The value obtained for the spin magnetization is 0.0 μB per formula unit.

Cell lengths 5.169, 5.474, 9.855 Å; angles 106.12, 105.87, 90.00 degrees
Fractional coordinates of all 8 atoms:
Bi  0.864  0.366  0.732
Bi  0.136  0.634  0.268
Bi  0.500  0.500  0.000
Pb  0.240  0.243  0.486
Tl  0.000  0.000  0.000
Tl  0.617  0.118  0.236
Pb  0.760  0.757  0.514
Tl  0.383  0.882  0.764

It is b that is the most stable of them.

--- a ---
This record from the Alexandria database describes a geometry-optimized Tl2BiPb8 structure. The functional is PBE.

The value obtained for the spin magnetization is 0.0 μB per formula unit.

Cell lengths 5.928, 6.177, 10.040 Å; angles 83.93, 107.17, 90.00 degrees
Fractional coordinates of all 11 atoms:
Pb  0.137  0.184  0.275
Bi  0.500  0.000  0.000
Tl  0.226  0.641  0.452
Tl  0.774  0.359  0.548
Pb  0.863  0.816  0.725
Pb  0.043  0.733  0.086
Pb  0.324  0.085  0.648
Pb  0.589  0.451  0.179
Pb  0.957  0.267  0.914
Pb  0.411  0.549  0.821
Pb  0.676  0.915  0.352

--- b ---
This record from the Alexandria database describes a geometry-optimized Tl2BiPb8 structure. The functional is PBE.

The value obtained for the spin magnetization is 0.0 μB per formula unit.

Cell lengths 5.870, 8.898, 9.448 Å; angles 61.91, 74.68, 55.88 degrees
Fractional coordinates of all 11 atoms:
Pb  0.817  0.093  0.256
Pb  0.500  0.201  0.598
Pb  0.500  0.799  0.402
Pb  0.316  0.416  0.000
Tl  0.000  0.312  0.376
Pb  0.817  0.349  0.744
Tl  0.000  0.688  0.624
Pb  0.183  0.651  0.256
Pb  0.183  0.907  0.744
Pb  0.684  0.584  0.000
Bi  0.500  0.000  0.000

It is a that is the most stable of them.

--- a ---
This record from the Alexandria database describes a geometry-optimized TlBi4Pb7 structure. The functional is PBE.

The value obtained for the spin magnetization is 0.0 μB per formula unit.

Cell lengths 5.968, 9.995, 8.106 Å; angles 87.95, 68.40, 72.63 degrees
Fractional coordinates of all 12 atoms:
Bi  0.420  0.782  0.377
Pb  0.215  0.140  0.431
Pb  0.357  0.575  0.711
Tl  0.000  0.000  0.000
Pb  0.924  0.306  0.847
Pb  0.643  0.425  0.289
Pb  0.785  0.860  0.569
Bi  0.266  0.352  0.116
Pb  0.500  0.000  0.000
Bi  0.734  0.648  0.884
Bi  0.580  0.218  0.623
Pb  0.076  0.694  0.153

--- b ---
This record from the Alexandria database describes a geometry-optimized TlBi4Pb7 structure. The functional is PBE.

The value obtained for the spin magnetization is 0.0 μB per formula unit.

Cell lengths 5.687, 5.687, 13.711 Å; angles 90.00, 90.00, 120.00 degrees
Fractional coordinates of all 12 atoms:
Bi  0.333  0.667  0.883
Pb  0.667  0.333  0.617
Bi  0.667  0.333  0.117
Pb  0.667  0.333  0.872
Tl  0.000  0.000  0.500
Pb  0.000  0.000  0.746
Pb  0.000  0.000  0.254
Bi  0.667  0.333  0.368
Bi  0.333  0.667  0.632
Pb  0.333  0.667  0.383
Pb  0.000  0.000  0.000
Pb  0.333  0.667  0.128

It is b that is the most stable of them.